# 1
Material: CdTe2WN
Method: DFT, GGA-PBE
State: relaxed

Values from the calculation:
Formation energy (no corrections), kJ/mol of formula units: 111.5
Energy above the most stable polymorph in this dataset, eV per atom: 0.000

Cell: 5.5096 5.5096 3.8395 Å, 90.00 90.00 90.00°
Closest atoms and distances in Å follow each position.
Space group P4/mmm (No. 123)
Asymmetric unit:
Cd (0.0000, 0.0000, 0.0000)  8 Te 3.36
Te (0.0000, 0.5000, 0.5000)  2 W 2.75
W (0.5000, 0.5000, 0.5000)  2 N 1.92
N (0.5000, 0.5000, 0.0000)  2 W 1.92


# 2
Material: LiVCd2Au
Method: DFT, GGA-PBE
State: relaxed

Values from the calculation:
Calculated formation energy, meV per atom: 533.6

Cell: 5.3222 5.3222 4.9602 Å, 90.00 90.00 90.00°
Closest atoms and distances in Å follow each position.
Space group P4/mmm (No. 123)
Asymmetric unit:
Li (0.0000, 0.0000, 0.0000)  8 Cd 3.64, 4 Au 3.76
V (0.5000, 0.5000, 0.5000)  2 Au 2.48, 4 Cd 2.66
Cd (0.0000, 0.5000, 0.5000)  2 V 2.66
Au (0.5000, 0.5000, 0.0000)  2 V 2.48


# 3
Material: ZnHgMo
Method: DFT, GGA-PBE
State: relaxed

Values from the calculation:
Calculated formation energy, meV per atom: 956.2
Energy above the most stable polymorph in this dataset, eV per atom: 0.584

Cell: 6.3475 6.3475 6.3475 Å, 90.00 90.00 90.00°
Closest atoms and distances in Å follow each position.
Space group F-43m (No. 216)
Asymmetric unit:
Zn (0.0000, 0.0000, 0.0000)  4 Mo 2.75
Hg (0.0000, 0.0000, 0.5000)  4 Mo 2.75
Mo (0.2500, 0.2500, 0.7500)  4 Hg 2.75, 4 Zn 2.75


# 4
Material: TbNdDy4Se8
Method: DFT, GGA-PBE
State: relaxed

Values from the calculation:
Formation energy (no corrections), kJ/mol of formula units: -2318.6

Cell: 8.4669 8.4669 20.7675 Å, 90.00 90.00 120.00°
Closest atoms and distances in Å follow each position.
Space group R3m (No. 160, hexagonal axes)
Asymmetric unit:
Tb (0.0000, 0.0000, 0.0000)  6 Se 2.89-2.91
Nd (0.0000, 0.0000, 0.3753)  4 Se 2.81-2.82
Dy (0.0000, 0.0000, 0.6258)  4 Se 2.74
Dy (0.0022, 0.5011, 0.5010)  6 Se 2.88-2.90
Se (0.0000, 0.0000, 0.2396)  1 Nd 2.82, 3 Dy 2.88
Se (0.0000, 0.0000, 0.7578)  4 Dy 2.74-2.90
Se (0.0276, 0.5138, 0.7547)  1 Nd 2.81, 2 Dy 2.88, 1 Tb 2.89
Se (0.1756, 0.3513, 0.5813)  3 Dy 2.74-2.90, 1 Tb 2.91


# 5
Material: Pm2Sm5HoSc
Method: DFT, GGA-PBE
State: relaxed

Values from the calculation:
Calculated formation energy, meV per atom: 123.0

Cell: 5.3821 21.9661 10.1419 Å, 90.00 90.00 90.00°
Closest atoms and distances in Å follow each position.
Space group Cmc2_1 (No. 36)
Asymmetric unit:
Pm (0.0000, 0.1161, 0.0000)  1 Sc 3.33, 9 Sm 3.57-3.71, 2 Ho 3.73
Pm (0.0000, 0.1164, 0.4949)  1 Sc 3.33, 9 Sm 3.57-3.71, 2 Ho 3.73
Sm (0.0000, 0.0007, 0.2475)  2 Ho 3.51, 4 Pm 3.57-3.63, 6 Sm 3.70-3.87
Sm (0.0000, 0.2778, 0.0602)  2 Sm 3.22, 1 Ho 3.25, 3 Sc 3.30-3.47
Sm (0.0000, 0.2782, 0.4356)  2 Sm 3.22, 1 Ho 3.25, 3 Sc 3.30-3.47
Sm (0.0000, 0.3728, 0.7476)  1 Sc 3.50, 4 Pm 3.69, 6 Sm 3.77-3.87
Sm (0.0000, 0.5000, 0.4974)  2 Ho 3.38, 6 Sm 3.70-3.77, 4 Pm 3.71
Ho (0.0000, 0.3980, 0.2474)  6 Sm 3.25-3.51, 2 Sc 3.64
Sc (0.0000, 0.2133, 0.7479)  7 Sm 3.30-3.50, 2 Pm 3.33, 2 Ho 3.64


# 6
Material: BeNi2C
Method: DFT, GGA-PBE
State: relaxed

Values from the calculation:
Calculated formation energy, meV per atom: 544.4
Energy above the most stable polymorph in this dataset, eV per atom: 0.307

Cell: 5.1028 5.1028 5.1028 Å, 90.00 90.00 90.00°
Closest atoms and distances in Å follow each position.
Space group Fm-3m (No. 225)
Asymmetric unit:
Be (0.0000, 0.0000, 0.0000)  8 Ni 2.21
Ni (0.2500, 0.2500, 0.2500)  4 Be 2.21, 4 C 2.21
C (0.0000, 0.0000, 0.5000)  8 Ni 2.21


# 7
Material: KGa2Au9
Method: DFT, GGA-PBE
State: relaxed

Values from the calculation:
Calculated formation energy, meV per atom: -74.6

Cell: 9.0197 9.0197 3.3364 Å, 90.00 90.00 120.00°
Closest atoms and distances in Å follow each position.
Space group P6/mmm (No. 191)
Asymmetric unit:
K (0.0000, 0.0000, 0.0000)  2 K 3.34, 12 Au 3.38
Ga (0.3333, 0.6667, 0.0000)  9 Au 2.60-2.81
Au (0.0000, 0.5000, 0.0000)  2 Ga 2.60
Au (0.1883, 0.3766, 0.5000)  2 Ga 2.81, 6 Au 2.94-2.97


# 8
Material: NdDyNp2S4
Method: DFT, GGA-PBE
State: relaxed

Values from the calculation:
Formation energy (no corrections), kJ/mol of formula units: -1289.4

Cell: 6.7995 3.9567 6.8867 Å, 90.00 109.66 90.00°
Closest atoms and distances in Å follow each position.
Space group P2/m (No. 10)
Asymmetric unit:
Nd (0.0000, 0.0000, 0.0000)  6 S 2.84
Dy (0.0000, 0.5000, 0.5000)  6 S 2.78-2.79
Np (0.5000, 0.0000, 0.5000)  6 S 2.74-2.76
Np (0.5000, 0.5000, 0.0000)  6 S 2.80-2.81
S (0.2529, 0.0000, 0.7460)  3 Np 2.76-2.80, 2 Dy 2.79, 1 Nd 2.84
S (0.2580, 0.5000, 0.2604)  3 Np 2.74-2.81, 1 Dy 2.78, 2 Nd 2.84


# 9
Material: MnVMo2H
Method: DFT, GGA-PBE
State: relaxed

Values from the calculation:
DFT total energy, eV/atom: -8.618

Cell: 4.2551 4.2551 3.2655 Å, 90.00 90.00 90.00°
Closest atoms and distances in Å follow each position.
Space group P4/mmm (No. 123)
Asymmetric unit:
Mn (0.0000, 0.0000, 0.0000)  2 H 1.63
V (0.5000, 0.5000, 0.0000)  8 Mo 2.68
Mo (0.0000, 0.5000, 0.5000)  2 H 2.13
H (0.0000, 0.0000, 0.5000)  2 Mn 1.63


# 10
Material: Sr2ScMnTe
Method: DFT, GGA-PBE
State: relaxed

Values from the calculation:
Formation energy (no corrections), kJ/mol of formula units: 101.2

Cell: 6.1980 6.1980 5.3976 Å, 90.00 90.00 90.00°
Closest atoms and distances in Å follow each position.
Space group P4/mmm (No. 123)
Asymmetric unit:
Sr (0.0000, 0.5000, 0.0000)  2 Te 3.10
Sc (0.0000, 0.0000, 0.5000)  2 Te 2.70
Mn (0.5000, 0.5000, 0.5000)  8 Sr 4.11, 4 Sc 4.38
Te (0.0000, 0.0000, 0.0000)  2 Sc 2.70


# 11
Material: KTh2H8
Method: DFT, GGA-PBE
State: relaxed

Values from the calculation:
DFT total energy, eV/atom: -4.161

Cell: 7.0688 11.0398 4.1084 Å, 90.00 103.38 90.00°
Closest atoms and distances in Å follow each position.
Space group C2/m (No. 12)
Asymmetric unit:
K (0.0000, 0.0000, 0.0000)  12 H 2.70-3.02
Th (0.0000, 0.3216, 0.5000)  8 H 2.22-2.31
H (0.0000, 0.2449, 0.0000)  2 Th 2.22
H (0.1094, 0.5000, 0.7748)  2 Th 2.31, 1 H 2.42
H (0.1837, 0.1513, 0.5426)  2 Th 2.27-2.30, 3 H 2.43-2.54


# 12
Material: Ti2PdSe6
Method: DFT, GGA-PBE
State: relaxed

Values from the calculation:
Formation energy (no corrections), kJ/mol of formula units: -566.4

Cell: 6.0785 6.0785 11.0473 Å, 90.00 90.00 90.00°
Closest atoms and distances in Å follow each position.
Space group P4_2/mnm (No. 136)
Asymmetric unit:
Ti (0.0000, 0.0000, 0.1584)  6 Se 2.47-2.61
Pd (0.0000, 0.0000, 0.5000)  6 Se 2.56
Se (0.1970, 0.1970, 0.3263)  2 Ti 2.51-2.61, 1 Pd 2.56
Se (0.2027, 0.2027, 0.0000)  2 Ti 2.47, 1 Pd 2.56


# 13
Material: La2Sm6YTm
Method: DFT, GGA-PBE
State: relaxed

Values from the calculation:
Calculated formation energy, meV per atom: 114.8

Cell: 9.1205 15.2641 9.9690 Å, 90.00 99.68 90.00°
Closest atoms and distances in Å follow each position.
Space group C2/c (No. 15)
Asymmetric unit:
La (0.2462, 0.0513, 0.0410)  5 Sm 3.28-3.58, 2 Y 3.41-3.46, 1 Tm 3.61
Sm (0.0659, 0.1913, 0.4440)  8 Sm 3.45-3.85, 1 La 3.58, 1 Y 3.68, 1 Tm 3.79
Sm (0.1044, 0.3972, 0.6206)  3 La 3.28-3.51, 4 Sm 3.33-3.59, 2 Tm 3.47-3.66
Sm (0.2000, 0.2198, 0.8100)  4 Sm 3.33-3.67, 1 La 3.43, 1 Tm 3.47, 1 Y 3.63
Y (0.0000, 0.0140, 0.7500)  4 La 3.41-3.46, 4 Sm 3.63-3.68
Tm (0.0000, 0.4054, 0.2500)  8 Sm 3.47-3.79, 2 La 3.61


# 14
Material: MgBe2Ir
Method: DFT, GGA-PBE
State: relaxed

Values from the calculation:
Calculated formation energy, meV per atom: -55.6

Cell: 5.8148 5.8148 5.8148 Å, 90.00 90.00 90.00°
Closest atoms and distances in Å follow each position.
Space group F-43m (No. 216)
Asymmetric unit:
Mg (0.0000, 0.0000, 0.0000)  4 Ir 2.52, 4 Be 2.52
Be (0.0000, 0.0000, 0.5000)  4 Be 2.52, 4 Ir 2.52
Be (0.2500, 0.2500, 0.2500)  4 Be 2.52, 4 Mg 2.52
Ir (0.2500, 0.2500, 0.7500)  4 Be 2.52, 4 Mg 2.52


# 15
Material: Hf3MnCl
Method: DFT, GGA-PBE
State: relaxed

Values from the calculation:
Formation energy (no corrections), kJ/mol of formula units: 156.7
Energy above the most stable polymorph in this dataset, eV per atom: 0.000

Cell: 4.7012 4.7012 4.7012 Å, 90.00 90.00 90.00°
Closest atoms and distances in Å follow each position.
Space group Pm-3m (No. 221)
Asymmetric unit:
Hf (0.0000, 0.0000, 0.5000)  2 Cl 2.35
Mn (0.5000, 0.5000, 0.5000)  12 Hf 3.32
Cl (0.0000, 0.0000, 0.0000)  6 Hf 2.35


# 16
Material: AcZrZnIr2
Method: DFT, GGA-PBE
State: relaxed

Values from the calculation:
Calculated formation energy, meV per atom: -663.9

Cell: 4.2461 4.2461 11.9933 Å, 90.00 90.00 90.00°
Closest atoms and distances in Å follow each position.
Space group I-4m2 (No. 119)
Asymmetric unit:
Ac (0.0000, 0.0000, 0.0000)  8 Ir 3.28, 4 Zr 3.67, 4 Zn 3.67
Zr (0.0000, 0.5000, 0.2500)  4 Ir 2.70, 4 Zn 3.00
Zn (0.0000, 0.5000, 0.7500)  4 Ir 2.70, 4 Zr 3.00
Ir (0.0000, 0.0000, 0.3890)  1 Ir 2.66, 2 Zr 2.70, 2 Zn 2.70


# 17
Material: CaPrHg5
Method: DFT, GGA-PBE
State: relaxed

Values from the calculation:
Calculated formation energy, meV per atom: -302.1

Cell: 7.4432 7.4829 7.1271 Å, 90.00 90.00 90.00°
Closest atoms and distances in Å follow each position.
Space group Cmmm (No. 65)
Asymmetric unit:
Ca (0.0000, 0.0000, 0.0000)  8 Hg 3.23
Pr (0.0000, 0.5000, 0.5000)  8 Hg 3.14
Hg (0.0000, 0.5000, 0.0000)  8 Hg 3.23, 2 Pr 3.56
Hg (0.2500, 0.2500, 0.2606)  2 Pr 3.14, 3 Hg 3.23-3.41, 2 Ca 3.23


# 18
Material: Li6Mg2Pt
Method: DFT, GGA-PBE
State: relaxed

Values from the calculation:
Calculated formation energy, meV per atom: -195.3

Cell: 6.8630 13.0190 3.7332 Å, 90.00 102.02 90.00°
Closest atoms and distances in Å follow each position.
Space group C2/m (No. 12)
Asymmetric unit:
Li (0.1720, 0.1517, 0.3524)  4 Li 2.72-2.90, 3 Mg 2.83-2.99, 1 Pt 2.96
Li (0.1986, 0.0000, 0.8643)  2 Pt 2.70-2.80, 4 Li 2.72-2.73, 2 Mg 2.84
Mg (0.0000, 0.3467, 0.0000)  2 Pt 2.73, 8 Li 2.83-2.99
Pt (0.0000, 0.5000, 0.5000)  8 Li 2.70-2.96, 4 Mg 2.73


# 19
Material: HgIr2Br
Method: DFT, GGA-PBE
State: relaxed

Values from the calculation:
Formation energy (no corrections), kJ/mol of formula units: 410.1
Energy above the most stable polymorph in this dataset, eV per atom: 0.641

Cell: 3.0067 3.7207 6.2315 Å, 90.00 90.00 90.00°
Closest atoms and distances in Å follow each position.
Space group Pmmm (No. 47)
Asymmetric unit:
Hg (0.0000, 0.0000, 0.0000)  8 Ir 2.91, 2 Hg 3.01, 2 Br 3.12
Ir (0.5000, 0.5000, 0.2655)  4 Br 2.80, 4 Hg 2.91, 3 Ir 2.92-3.01
Br (0.0000, 0.0000, 0.5000)  8 Ir 2.80, 2 Br 3.01, 2 Hg 3.12


# 20
Material: Pm14NdSm
Method: DFT, GGA-PBE
State: relaxed

Values from the calculation:
Calculated formation energy, meV per atom: 32.9

Cell: 11.8101 7.3770 12.7728 Å, 90.00 90.00 90.00°
Closest atoms and distances in Å follow each position.
Space group Amm2 (No. 38)
Asymmetric unit:
Pm (0.0000, 0.0000, 0.0000)  12 Pm 3.64-3.69
Pm (0.0000, 0.0000, 0.4999)  12 Pm 3.64-3.69
Pm (0.0000, 0.2501, 0.2499)  12 Pm 3.64-3.69
Pm (0.2497, 0.0000, 0.1668)  11 Pm 3.64-3.69, 1 Nd 3.64
Pm (0.2504, 0.0000, 0.6667)  11 Pm 3.64-3.69, 1 Sm 3.64
Pm (0.2500, 0.2501, 0.4168)  1 Sm 3.64, 1 Nd 3.64, 10 Pm 3.64-3.69
Pm (0.5000, 0.2499, 0.2497)  8 Pm 3.64-3.69, 2 Nd 3.69, 2 Sm 3.69
Nd (0.5000, 0.0000, 0.9999)  10 Pm 3.64-3.69, 2 Sm 3.69
Sm (0.5000, 0.0000, 0.4996)  10 Pm 3.64-3.69, 2 Nd 3.69